LaSi2Pb | Alexandria | PBE-GGA | optimized geometry; E_form (uncorrected) = -7 kJ/mol of atoms; final energy = -19.8 eV/cell; space group = No. 119
1.0
5.9865 -0.0013 0.0000
2.8802 5.2480 0.0000
-4.4333 -2.6234 3.0498
La Pb Si
1 1 2
Cartesian
4.4333 2.6234 0.0000
2.9932 -0.0007 1.5249
0.0000 0.0000 0.0000
1.4401 2.6240 1.5249